Density functional theory data (PBE) for crystalline Th3FeGe3 at its relaxed geometry.

a = 5.8981 Å, b = 5.8981 Å, c = 14.7437 Å
α = 109.69°, β = 109.69°, γ = 42.65°
Closest atoms and distances in Å follow each position.
Sites, in units of the cell vectors:
Th 0.0254 0.0254 0.3857  7 Ge 3.02-3.31, 4 Fe 3.10-3.28
Th 0.1015 0.1015 0.9196  7 Ge 3.03-3.27
Th 0.2418 0.2418 0.2331  6 Ge 3.05-3.18, 2 Fe 3.31
Th 0.7582 0.7582 0.7669  6 Ge 3.05-3.18, 2 Fe 3.31
Th 0.8985 0.8985 0.0804  7 Ge 3.03-3.27
Th 0.9746 0.9746 0.6143  7 Ge 3.02-3.31, 4 Fe 3.10-3.28
Fe 0.2641 0.2641 0.5978  4 Ge 2.45-2.59
Fe 0.7359 0.7359 0.4022  4 Ge 2.45-2.59
Ge 0.3475 0.3475 0.4547  3 Fe 2.45-2.59
Ge 0.3802 0.3802 0.9251  2 Ge 2.76-2.97, 1 Th 3.03
Ge 0.4657 0.4657 0.7559  1 Fe 2.57
Ge 0.5343 0.5343 0.2441  1 Fe 2.57
Ge 0.6198 0.6198 0.0749  2 Ge 2.76-2.97, 1 Th 3.03
Ge 0.6525 0.6525 0.5453  3 Fe 2.45-2.59

Uncorrected energy, eV per atom: -6.985
Calculated volume, A^3/atom: 23.1
Fermi-level density of states, states/eV/cell: 12.54

Density functional theory data (PBE) for crystalline Ac3Tl3Pb at its relaxed geometry.

a = 6.8096 Å, b = 6.8096 Å, c = 16.3763 Å
α = 105.70°, β = 105.70°, γ = 43.10°
Closest atoms and distances in Å follow each position.
Sites, in units of the cell vectors:
Ac 0.0081 0.0081 0.3768  6 Tl 3.54-3.71, 3 Pb 3.64-3.69
Ac 0.1121 0.1121 0.9279  7 Tl 3.46-3.73
Ac 0.2206 0.2206 0.2225  4 Tl 3.40-3.74, 2 Pb 3.51
Ac 0.7794 0.7794 0.7775  4 Tl 3.40-3.74, 2 Pb 3.51
Ac 0.8879 0.8879 0.0721  7 Tl 3.46-3.73
Ac 0.9919 0.9919 0.6232  6 Tl 3.54-3.71, 3 Pb 3.64-3.69
Tl 0.3605 0.3605 0.4573  3 Pb 3.18-3.22, 1 Tl 3.40
Tl 0.3918 0.3918 0.9240  2 Tl 3.12-3.16, 4 Ac 3.47-3.49
Tl 0.4885 0.4885 0.2204  1 Tl 3.16, 1 Pb 3.19, 5 Ac 3.40-3.54
Tl 0.5115 0.5115 0.7796  1 Tl 3.16, 1 Pb 3.19, 5 Ac 3.40-3.54
Tl 0.6082 0.6082 0.0760  2 Tl 3.12-3.16, 4 Ac 3.47-3.49
Tl 0.6395 0.6395 0.5427  3 Pb 3.18-3.22, 1 Tl 3.40
Pb 0.2854 0.2854 0.6287  4 Tl 3.18-3.22, 2 Ac 3.51
Pb 0.7146 0.7146 0.3713  4 Tl 3.18-3.22, 2 Ac 3.51

Excess energy over the best structure of this formula in the dataset, meV per atom: 0
Calculated volume, A^3/atom: 35.5
Fermi-level density of states, states/eV/cell: 10.91

Density functional theory data (PBE) for crystalline Li2FeHg at its relaxed geometry.

a = 7.1533 Å, b = 7.1533 Å, c = 5.2958 Å
α = 90.00°, β = 90.00°, γ = 90.00°
Closest atoms and distances in Å follow each position.
Sites, in units of the cell vectors:
Li 0.2446 0.2500 0.1250  2 Fe 2.59, 2 Hg 2.64, 2 Li 2.65
Li 0.2500 0.7446 0.3750  2 Fe 2.59, 2 Hg 2.64, 2 Li 2.65
Li 0.2500 0.7554 0.8750  2 Fe 2.59, 2 Hg 2.64, 2 Li 2.65
Li 0.2554 0.2500 0.6250  2 Fe 2.59, 2 Hg 2.64, 2 Li 2.65
Li 0.7446 0.7500 0.6250  2 Fe 2.59, 2 Hg 2.64, 2 Li 2.65
Li 0.7500 0.2446 0.8750  2 Fe 2.59, 2 Hg 2.64, 2 Li 2.65
Li 0.7500 0.2554 0.3750  2 Fe 2.59, 2 Hg 2.64, 2 Li 2.65
Li 0.7554 0.7500 0.1250  2 Fe 2.59, 2 Hg 2.64, 2 Li 2.65
Fe 0.0000 0.0000 0.0000  4 Li 2.59, 2 Hg 2.65
Fe 0.0000 0.5000 0.2500  4 Li 2.59, 2 Hg 2.65
Fe 0.5000 0.0000 0.7500  4 Li 2.59, 2 Hg 2.65
Fe 0.5000 0.5000 0.5000  4 Li 2.59, 2 Hg 2.65
Hg 0.0000 0.0000 0.5000  4 Li 2.64, 2 Fe 2.65
Hg 0.0000 0.5000 0.7500  4 Li 2.64, 2 Fe 2.65
Hg 0.5000 0.0000 0.2500  4 Li 2.64, 2 Fe 2.65
Hg 0.5000 0.5000 0.0000  4 Li 2.64, 2 Fe 2.65

Uncorrected energy, eV per atom: -2.835
Calculated volume, A^3/atom: 16.9
Fermi-level density of states, states/eV/cell: 14.99

Density functional theory data (PBE) for crystalline Rb3Cd2CuBr9 at its relaxed geometry.

a = 7.7051 Å, b = 7.7051 Å, c = 9.4864 Å
α = 90.00°, β = 90.00°, γ = 120.00°
Closest atoms and distances in Å follow each position.
Sites, in units of the cell vectors:
Rb 0.0000 0.0000 0.0000  12 Br 3.85-3.89
Rb 0.3333 0.6667 0.6651  12 Br 3.83-3.88
Rb 0.6667 0.3333 0.3349  12 Br 3.83-3.88
Cd 0.3333 0.6667 0.1770  6 Br 2.78-2.79
Cd 0.6667 0.3333 0.8230  6 Br 2.78-2.79
Cu 0.0000 0.0000 0.5000  6 Br 2.62
Br 0.0000 0.5000 0.0000  2 Cd 2.79
Br 0.1608 0.3216 0.3420  1 Cu 2.62, 1 Cd 2.78
Br 0.1608 0.8392 0.3420  1 Cu 2.62, 1 Cd 2.78
Br 0.3216 0.1608 0.6580  1 Cu 2.62, 1 Cd 2.78
Br 0.5000 0.0000 0.0000  2 Cd 2.79
Br 0.5000 0.5000 0.0000  2 Cd 2.79
Br 0.6784 0.8392 0.3420  1 Cu 2.62, 1 Cd 2.78
Br 0.8392 0.1608 0.6580  1 Cu 2.62, 1 Cd 2.78
Br 0.8392 0.6784 0.6580  1 Cu 2.62, 1 Cd 2.78

Calculated volume, A^3/atom: 32.5
Formation energy from raw total energies, meV/atom: -1055.9
Fermi-level density of states, states/eV/cell: 5.27

Density functional theory data (PBE) for crystalline Tb12H5Pd3 at its relaxed geometry.

a = 13.1740 Å, b = 13.1740 Å, c = 13.1740 Å
α = 109.47°, β = 109.47°, γ = 109.47°
Closest atoms and distances in Å follow each position.
Sites, in units of the cell vectors:
Tb 0.0218 0.2129 0.1157  1 H 2.18
Tb 0.0218 0.3088 0.9060  1 H 2.18
Tb 0.0940 0.6157 0.4028  1 H 2.18
Tb 0.0940 0.9782 0.6912  1 H 2.18
Tb 0.0972 0.7129 0.6912  1 H 2.18
Tb 0.0972 0.8843 0.4060  1 H 2.18
Tb 0.1157 0.0218 0.2129  1 H 2.18
Tb 0.1157 0.5940 0.9028  1 H 2.18
Tb 0.1912 0.2129 0.5972  1 H 2.18
Tb 0.1912 0.4782 0.5940  1 H 2.18
Tb 0.2129 0.1157 0.0218  1 H 2.18
Tb 0.2129 0.5972 0.1912  1 H 2.18
Tb 0.2871 0.3088 0.9028  1 H 2.18
Tb 0.2871 0.4782 0.3843  1 H 2.18
Tb 0.3088 0.9028 0.2871  1 H 2.18
Tb 0.3088 0.9060 0.0218  1 H 2.18
Tb 0.3843 0.2871 0.4782  1 H 2.18
Tb 0.3843 0.5972 0.9060  1 H 2.18
Tb 0.4028 0.0940 0.6157  1 H 2.18
Tb 0.4028 0.8088 0.7871  1 H 2.18
Tb 0.4060 0.0972 0.8843  1 H 2.18
Tb 0.4060 0.8088 0.5218  1 H 2.18
Tb 0.4782 0.3843 0.2871  1 H 2.18
Tb 0.4782 0.5940 0.1912  1 H 2.18
Tb 0.5218 0.4060 0.8088  1 H 2.18
Tb 0.5218 0.6157 0.7129  1 H 2.18
Tb 0.5940 0.1912 0.4782  1 H 2.18
Tb 0.5940 0.9028 0.1157  1 H 2.18
Tb 0.5972 0.1912 0.2129  1 H 2.18
Tb 0.5972 0.9060 0.3843  1 H 2.18
Tb 0.6157 0.4028 0.0940  1 H 2.18
Tb 0.6157 0.7129 0.5218  1 H 2.18
Tb 0.6912 0.0940 0.9782  1 H 2.18
Tb 0.6912 0.0972 0.7129  1 H 2.18
Tb 0.7129 0.5218 0.6157  1 H 2.18
Tb 0.7129 0.6912 0.0972  1 H 2.18
Tb 0.7871 0.4028 0.8088  1 H 2.18
Tb 0.7871 0.8843 0.9782  1 H 2.18
Tb 0.8088 0.5218 0.4060  1 H 2.18
Tb 0.8088 0.7871 0.4028  1 H 2.18
Tb 0.8843 0.4060 0.0972  1 H 2.18
Tb 0.8843 0.9782 0.7871  1 H 2.18
Tb 0.9028 0.1157 0.5940  1 H 2.18
Tb 0.9028 0.2871 0.3088  1 H 2.18
Tb 0.9060 0.0218 0.3088  1 H 2.18
Tb 0.9060 0.3843 0.5972  1 H 2.18
Tb 0.9782 0.6912 0.0940  1 H 2.18
Tb 0.9782 0.7871 0.8843  1 H 2.18
H 0.0000 0.0000 0.0000  6 Tb 2.57
H 0.0000 0.0000 0.5000  6 Tb 2.57
H 0.0000 0.5000 0.0000  6 Tb 2.57
H 0.0000 0.5000 0.5000  6 Tb 2.57
H 0.1250 0.7500 0.8750  4 Tb 2.18
H 0.1250 0.8750 0.2500  4 Tb 2.18
H 0.2500 0.1250 0.8750  4 Tb 2.18
H 0.2500 0.6250 0.3750  4 Tb 2.18
H 0.3750 0.2500 0.6250  4 Tb 2.18
H 0.3750 0.6250 0.7500  4 Tb 2.18
H 0.5000 0.0000 0.0000  6 Tb 2.57
H 0.5000 0.0000 0.5000  6 Tb 2.57
H 0.5000 0.5000 0.0000  6 Tb 2.57
H 0.5000 0.5000 0.5000  6 Tb 2.57
H 0.6250 0.3750 0.2500  4 Tb 2.18
H 0.6250 0.7500 0.3750  4 Tb 2.18
H 0.7500 0.3750 0.6250  4 Tb 2.18
H 0.7500 0.8750 0.1250  4 Tb 2.18
H 0.8750 0.1250 0.7500  4 Tb 2.18
H 0.8750 0.2500 0.1250  4 Tb 2.18
Pd 0.1250 0.2500 0.3750  8 Tb 2.99-3.02
Pd 0.1250 0.3750 0.7500  8 Tb 2.99-3.02
Pd 0.2500 0.3750 0.1250  8 Tb 2.99-3.02
Pd 0.2500 0.8750 0.6250  8 Tb 2.99-3.02
Pd 0.3750 0.1250 0.2500  8 Tb 2.99-3.02
Pd 0.3750 0.7500 0.1250  8 Tb 2.99-3.02
Pd 0.6250 0.2500 0.8750  8 Tb 2.99-3.02
Pd 0.6250 0.8750 0.7500  8 Tb 2.99-3.02
Pd 0.7500 0.1250 0.3750  8 Tb 2.99-3.02
Pd 0.7500 0.6250 0.8750  8 Tb 2.99-3.02
Pd 0.8750 0.6250 0.2500  8 Tb 2.99-3.02
Pd 0.8750 0.7500 0.6250  8 Tb 2.99-3.02

Uncorrected energy, eV per atom: -4.803
Calculated volume, A^3/atom: 22.0
Fermi-level density of states, states/eV/cell: 79.07

Density functional theory data (PBE) for crystalline K2SmTe3O12 at its relaxed geometry.

a = 7.6179 Å, b = 7.6179 Å, c = 7.6179 Å
α = 58.38°, β = 58.38°, γ = 58.38°
Closest atoms and distances in Å follow each position.
Sites, in units of the cell vectors:
K 0.1232 0.1232 0.1232  6 O 3.16-3.32
K 0.8768 0.8768 0.8768  6 O 3.16-3.32
Sm 0.5000 0.5000 0.5000  6 O 2.31
Te 0.0000 0.5000 0.5000  6 O 1.89-1.98
Te 0.5000 0.0000 0.5000  6 O 1.89-1.98
Te 0.5000 0.5000 0.0000  6 O 1.89-1.98
O 0.1336 0.5820 0.5820  1 Te 1.89
O 0.1880 0.1880 0.5870  2 Te 1.98
O 0.1880 0.5870 0.1880  2 Te 1.98
O 0.4130 0.8120 0.8120  2 Te 1.98
O 0.4180 0.4180 0.8664  1 Te 1.89
O 0.4180 0.8664 0.4180  1 Te 1.89
O 0.5820 0.1336 0.5820  1 Te 1.89
O 0.5820 0.5820 0.1336  1 Te 1.89
O 0.5870 0.1880 0.1880  2 Te 1.98
O 0.8120 0.4130 0.8120  2 Te 1.98
O 0.8120 0.8120 0.4130  2 Te 1.98
O 0.8664 0.4180 0.4180  1 Te 1.89

Calculated volume, A^3/atom: 16.7
Formation energy from raw total energies, meV/atom: -1424.7
Fermi-level density of states, states/eV/cell: 11.85

Density functional theory data (PBE) for crystalline Nb3InRu at its relaxed geometry.

a = 4.8260 Å, b = 4.8260 Å, c = 4.8260 Å
α = 90.00°, β = 90.00°, γ = 90.00°
Closest atoms and distances in Å follow each position.
Sites, in units of the cell vectors:
Nb 0.0000 0.0000 0.5000  2 Ru 2.41
Nb 0.0000 0.5000 0.0000  2 Ru 2.41
Nb 0.5000 0.0000 0.0000  2 Ru 2.41
In 0.5000 0.5000 0.5000  12 Nb 3.41
Ru 0.0000 0.0000 0.0000  6 Nb 2.41

Excess energy over the best structure of this formula in the dataset, meV per atom: 0
Calculated volume, A^3/atom: 22.5
Fermi-level density of states, states/eV/cell: 4.59